Below is an optimized crystal structure of ZrGaIr, with properties calculated at the PBE level.

Cell lengths 4.406, 4.406, 3.073 Å; angles 90.00, 90.00, 120.00 degrees
Fractional coordinates of all 3 atoms:
Zr 0.000 0.000 0.000
Ga 0.333 0.667 0.500
Ir 0.667 0.333 0.500

Computed properties:
**Energy**: -7.557 eV per atom
**SG**: P-6m2 (187)

***

Below is an optimized crystal structure of KCo2Te, with properties calculated at the PBE level.

Cell lengths 4.147, 4.147, 6.791 Å; angles 107.78, 107.78, 60.04 degrees
Fractional coordinates of all 4 atoms:
K 0.000 0.000 0.000
Co 0.197 0.197 0.593
Co 0.529 0.529 0.589
Te 0.809 0.809 0.428

Computed properties:
**Energy**: -4.560 eV per atom
**Formation energy (no corrections)**: 0.05 eV/atom
**SG**: Cm (8)

***

Below is an optimized crystal structure of GaTeCl2, with properties calculated at the PBE level.

Cell lengths 9.384, 9.384, 9.384 Å; angles 23.66, 23.66, 23.66 degrees
Fractional coordinates of all 4 atoms:
Ga 0.000 0.000 0.000
Te 0.500 0.500 0.500
Cl 0.404 0.404 0.404
Cl 0.596 0.596 0.596

Computed properties:
**Energy**: -2.804 eV per atom
**Formation energy (no corrections)**: -0.34 eV/atom
**SG**: R-3m (166)
**ΔE to the lowest computed polymorph**: 275 meV/atom

***

Below is an optimized crystal structure of AlAs2Pb, with properties calculated at the PBE level.

Cell lengths 4.227, 4.275, 6.349 Å; angles 90.00, 95.55, 90.00 degrees
Fractional coordinates of all 4 atoms:
Al 0.000 0.000 0.000
As 0.528 0.000 0.212
As 0.951 0.500 0.794
Pb 0.421 0.500 0.491

Computed properties:
**Energy**: -4.275 eV per atom
**SG**: Pm (6)
**ΔE to the lowest computed polymorph**: 30 meV/atom